Material: SrMgFe2Re
Method: DFT, GGA-PBEsol
State: relaxed

space group: P4/mmm (123)
calculated total energy: -30.35 eV per formula unit
V: 107 Å³ per cell

Cell: 4.594 4.594 5.064 Å, 90.00 90.00 90.00°
Fractional coordinates of all 5 atoms:
Sr: 0.000 0.000 0.000
Mg: 0.500 0.500 0.000
Fe: 0.000 0.500 0.500
Fe: 0.500 0.000 0.500
Re: 0.500 0.500 0.500